(1)
Density functional theory data (PBE) for La2Ce2Tl3 after structural relaxation.

abc: 4.6811 25.0322 3.4956
angles: 90.00 90.00 90.00
With the nearest neighbours (Å) after each atom.
Element x y z (fractional)
La (0.0000, 0.0755, 0.0000)  8 Tl 3.48-3.50, 3 La 3.50-3.78, 1 Ce 3.55
La (0.0000, 0.9245, 0.0000)  8 Tl 3.48-3.50, 3 La 3.50-3.78, 1 Ce 3.55
La (0.5000, 0.4245, 0.0000)  8 Tl 3.48-3.50, 3 La 3.50-3.78, 1 Ce 3.55
La (0.5000, 0.5755, 0.0000)  8 Tl 3.48-3.50, 3 La 3.50-3.78, 1 Ce 3.55
Ce (0.0000, 0.2175, 0.0000)  2 Ce 2.85
Ce (0.0000, 0.7825, 0.0000)  2 Ce 2.85
Ce (0.5000, 0.2825, 0.0000)  2 Ce 2.85
Ce (0.5000, 0.7175, 0.0000)  2 Ce 2.85
Tl (0.0000, 0.3478, 0.5000)  6 Ce 3.35-3.70, 2 Tl 3.50, 4 La 3.50
Tl (0.0000, 0.5000, 0.5000)  8 La 3.48, 4 Tl 3.50-3.81
Tl (0.0000, 0.6522, 0.5000)  6 Ce 3.35-3.70, 2 Tl 3.50, 4 La 3.50
Tl (0.5000, 0.0000, 0.5000)  8 La 3.48, 4 Tl 3.50-3.81
Tl (0.5000, 0.1522, 0.5000)  6 Ce 3.35-3.70, 2 Tl 3.50, 4 La 3.50
Tl (0.5000, 0.8478, 0.5000)  6 Ce 3.35-3.70, 2 Tl 3.50, 4 La 3.50

Properties
Symmetry   Cmmm (65)
Spin magnetization   0.265 μB/atom
Formation energy from the elements   -1.915 eV/f.u.

---

(2)
Density functional theory data (PBE) for La12CeTl3 after structural relaxation.

abc: 5.0783 5.0783 20.4850
angles: 90.00 90.00 90.00
With the nearest neighbours (Å) after each atom.
Element x y z (fractional)
La (0.0000, 0.0000, 0.0000)  4 Tl 3.59, 8 La 3.60
La (0.0000, 0.0000, 0.2485)  8 La 3.59-3.64, 4 Tl 3.59
La (0.0000, 0.0000, 0.5000)  4 Ce 3.59, 8 La 3.59
La (0.0000, 0.0000, 0.7515)  8 La 3.59-3.64, 4 Tl 3.59
La (0.0000, 0.5000, 0.1248)  4 Tl 3.58-3.60, 8 La 3.59-3.60
La (0.0000, 0.5000, 0.3758)  8 La 3.59-3.64, 2 Ce 3.59, 2 Tl 3.64
La (0.0000, 0.5000, 0.6242)  8 La 3.59-3.64, 2 Ce 3.59, 2 Tl 3.64
La (0.0000, 0.5000, 0.8752)  4 Tl 3.58-3.60, 8 La 3.59-3.60
La (0.5000, 0.0000, 0.1248)  4 Tl 3.58-3.60, 8 La 3.59-3.60
La (0.5000, 0.0000, 0.3758)  8 La 3.59-3.64, 2 Ce 3.59, 2 Tl 3.64
La (0.5000, 0.0000, 0.6242)  8 La 3.59-3.64, 2 Ce 3.59, 2 Tl 3.64
La (0.5000, 0.0000, 0.8752)  4 Tl 3.58-3.60, 8 La 3.59-3.60
Ce (0.5000, 0.5000, 0.5000)  12 La 3.59
Tl (0.5000, 0.5000, 0.0000)  12 La 3.59-3.60
Tl (0.5000, 0.5000, 0.2482)  12 La 3.58-3.64
Tl (0.5000, 0.5000, 0.7518)  12 La 3.58-3.64

Properties
Symmetry   P4/mmm (123)
Spin magnetization   0.015 μB/atom
Formation energy from the elements   -2.645 eV/f.u.

---

(3)
Density functional theory data (PBE) for LaCe3Tl3 after structural relaxation.

abc: 9.7121 9.7121 5.1386
angles: 90.00 90.00 120.00
With the nearest neighbours (Å) after each atom.
Element x y z (fractional)
La (0.3333, 0.6667, 0.2500)  9 Tl 3.47-3.49, 3 Ce 3.88
La (0.6667, 0.3333, 0.7500)  9 Tl 3.47-3.49, 3 Ce 3.88
Ce (0.0006, 0.7773, 0.2500)  4 Tl 3.25-3.53, 4 Ce 3.36
Ce (0.2233, 0.0006, 0.7500)  4 Tl 3.25-3.53, 4 Ce 3.36
Ce (0.2227, 0.2233, 0.2500)  4 Tl 3.25-3.53, 4 Ce 3.36
Ce (0.7773, 0.7767, 0.7500)  4 Tl 3.25-3.53, 4 Ce 3.36
Ce (0.7767, 0.9994, 0.2500)  4 Tl 3.25-3.53, 4 Ce 3.36
Ce (0.9994, 0.2227, 0.7500)  4 Tl 3.25-3.53, 4 Ce 3.36
Tl (0.0686, 0.6156, 0.7500)  2 Tl 3.23, 4 Ce 3.25-3.53, 3 La 3.47-3.49
Tl (0.3844, 0.4530, 0.7500)  2 Tl 3.23, 4 Ce 3.25-3.53, 3 La 3.47-3.49
Tl (0.4530, 0.0686, 0.2500)  2 Tl 3.23, 4 Ce 3.25-3.53, 3 La 3.47-3.49
Tl (0.5470, 0.9314, 0.7500)  2 Tl 3.23, 4 Ce 3.25-3.53, 3 La 3.47-3.49
Tl (0.6156, 0.5470, 0.2500)  2 Tl 3.23, 4 Ce 3.25-3.53, 3 La 3.47-3.49
Tl (0.9314, 0.3844, 0.2500)  2 Tl 3.23, 4 Ce 3.25-3.53, 3 La 3.47-3.49

Properties
Symmetry   P6_3/m (176)
Spin magnetization   0.495 μB/atom
Formation energy from the elements   -1.087 eV/f.u.

---

(4)
Density functional theory data (PBE) for La12CeTl6 after structural relaxation.

abc: 8.5589 8.5589 8.5589
angles: 90.04 90.04 90.04
With the nearest neighbours (Å) after each atom.
Element x y z (fractional)
La (0.0701, 0.1245, 0.3817)  4 La 3.18-3.49, 2 Tl 3.41-3.56, 1 Ce 3.49
La (0.1245, 0.3817, 0.0701)  4 La 3.18-3.49, 2 Tl 3.41-3.56, 1 Ce 3.49
La (0.1881, 0.4656, 0.5644)  4 Tl 3.38-3.51, 4 La 3.45-3.65
La (0.3817, 0.0701, 0.1245)  4 La 3.18-3.49, 2 Tl 3.41-3.56, 1 Ce 3.49
La (0.4356, 0.8119, 0.5344)  4 Tl 3.38-3.51, 4 La 3.45-3.65
La (0.4656, 0.5644, 0.1881)  4 Tl 3.38-3.51, 4 La 3.45-3.65
La (0.5344, 0.4356, 0.8119)  4 Tl 3.38-3.51, 4 La 3.45-3.65
La (0.5644, 0.1881, 0.4656)  4 Tl 3.38-3.51, 4 La 3.45-3.65
La (0.6183, 0.9299, 0.8755)  4 La 3.18-3.49, 2 Tl 3.41-3.56, 1 Ce 3.49
La (0.8119, 0.5344, 0.4356)  4 Tl 3.38-3.51, 4 La 3.45-3.65
La (0.8755, 0.6183, 0.9299)  4 La 3.18-3.49, 2 Tl 3.41-3.56, 1 Ce 3.49
La (0.9299, 0.8755, 0.6183)  4 La 3.18-3.49, 2 Tl 3.41-3.56, 1 Ce 3.49
Ce (0.0000, 0.0000, 0.0000)  6 Tl 3.39, 6 La 3.49
Tl (0.1245, 0.7438, 0.2758)  8 La 3.38-3.78, 1 Ce 3.39, 2 Tl 3.61
Tl (0.2562, 0.7242, 0.8755)  8 La 3.38-3.78, 1 Ce 3.39, 2 Tl 3.61
Tl (0.2758, 0.1245, 0.7438)  8 La 3.38-3.78, 1 Ce 3.39, 2 Tl 3.61
Tl (0.7242, 0.8755, 0.2562)  8 La 3.38-3.78, 1 Ce 3.39, 2 Tl 3.61
Tl (0.7438, 0.2758, 0.1245)  8 La 3.38-3.78, 1 Ce 3.39, 2 Tl 3.61
Tl (0.8755, 0.2562, 0.7242)  8 La 3.38-3.78, 1 Ce 3.39, 2 Tl 3.61

Properties
Symmetry   R-3 (148)
Spin magnetization   0.064 μB/atom
Formation energy from the elements   -3.586 eV/f.u.

---

(5)
Density functional theory data (PBE) for LaCeTl4 after structural relaxation.

abc: 6.3012 6.3012 6.3012
angles: 60.00 60.00 60.00
With the nearest neighbours (Å) after each atom.
Element x y z (fractional)
La (0.0000, 0.0000, 0.0000)  12 Tl 3.69, 4 Ce 3.86
Ce (0.2500, 0.2500, 0.2500)  12 Tl 3.69, 4 La 3.86
Tl (0.1252, 0.6249, 0.6249)  6 Tl 3.15
Tl (0.6249, 0.1252, 0.6249)  6 Tl 3.15
Tl (0.6249, 0.6249, 0.1252)  6 Tl 3.15
Tl (0.6249, 0.6249, 0.6249)  6 Tl 3.15

Properties
Symmetry   F-43m (216)
Spin magnetization   0.281 μB/atom
Polymorph energy (0 for the lowest one)   121 meV per atom
Formation energy from the elements   -0.838 eV/f.u.

---

(6)
Density functional theory data (PBE) for LaCeTl2 after structural relaxation.

abc: 3.5849 3.5849 9.2830
angles: 90.00 90.00 90.00
With the nearest neighbours (Å) after each atom.
Element x y z (fractional)
La (0.0000, 0.0000, 0.0000)  8 Tl 3.47, 4 La 3.58
Ce (0.0000, 0.0000, 0.5000)  8 Tl 3.41, 4 Ce 3.58
Tl (0.5000, 0.5000, 0.2550)  4 Ce 3.41, 4 La 3.47, 4 Tl 3.58
Tl (0.5000, 0.5000, 0.7450)  4 Ce 3.41, 4 La 3.47, 4 Tl 3.58

Properties
Symmetry   P4/mmm (123)
Spin magnetization   0.347 μB/atom
Polymorph energy (0 for the lowest one)   0 meV per atom
Formation energy from the elements   -1.296 eV/f.u.